PuMnFeSi3 | PBE-GGA | optimized geometry

Structure (POSCAR):
```
PuMnFeSi3
1.0
3.570 -5.106 0.000
3.570 5.106 0.000
0.000 0.000 5.444
Pu Mn Fe Si
2 2 2 6
Direct
0.249 0.751 0.750
0.751 0.249 0.250
0.456 0.544 0.250
0.544 0.456 0.750
0.039 0.961 0.250
0.961 0.039 0.750
0.247 0.753 0.250
0.250 0.250 0.000
0.250 0.250 0.500
0.750 0.750 0.000
0.750 0.750 0.500
0.753 0.247 0.750
```

Properties
ΔE_f (raw): -20 kJ per mole of atoms
crystal system: orthorhombic
ρ: 7.345 Mg/m³

MoPt2I | PBE-GGA | optimized geometry

Structure (POSCAR):
```
MoPt2I
1.0
6.676 0.000 0.000
0.000 6.676 0.000
0.000 0.000 6.676
Mo Pt I
4 8 4
Direct
0.000 0.000 0.000
0.000 0.500 0.500
0.500 0.000 0.500
0.500 0.500 0.000
0.250 0.250 0.250
0.250 0.250 0.750
0.250 0.750 0.250
0.250 0.750 0.750
0.750 0.250 0.250
0.750 0.250 0.750
0.750 0.750 0.250
0.750 0.750 0.750
0.000 0.000 0.500
0.000 0.500 0.000
0.500 0.000 0.000
0.500 0.500 0.500
```

Properties
ΔE_f (raw): 73 kJ per mole of atoms
crystal system: cubic
relative energy among the computed polymorphs: 153 meV/atom
ρ: 13.682 Mg/m³

ZrTl3Te6Pb2 | PBE-GGA | optimized geometry

Structure (POSCAR):
```
ZrTl3Te6Pb2
1.0
3.967 -6.838 0.000
3.967 6.838 0.000
-2.704 0.000 7.668
Zr Tl Te Pb
1 3 6 2
Direct
0.000 0.000 0.000
0.173 0.827 0.500
0.500 0.500 0.500
0.827 0.173 0.500
0.073 0.379 0.218
0.226 0.226 0.773
0.379 0.073 0.218
0.621 0.927 0.782
0.774 0.774 0.227
0.927 0.621 0.782
0.336 0.664 0.000
0.664 0.336 0.000
```

Properties
ΔE_f (raw): -46 kJ per mole of atoms
crystal system: monoclinic
ρ: 7.521 Mg/m³

La3AgPd2 | PBE-GGA | optimized geometry

Structure (POSCAR):
```
La3AgPd2
1.0
3.902 2.253 6.568
-3.902 2.253 6.568
0.000 -4.506 6.568
La Ag Pd
6 2 4
Direct
0.042 0.750 0.458
0.250 0.542 0.958
0.458 0.042 0.750
0.542 0.958 0.250
0.750 0.458 0.042
0.958 0.250 0.542
0.000 0.000 0.000
0.500 0.500 0.500
0.146 0.146 0.146
0.354 0.354 0.354
0.646 0.646 0.646
0.854 0.854 0.854
```

Properties
crystal system: trigonal
relative energy among the computed polymorphs: 0 meV/atom
energy of formation from the pure elements: -0.5430 eV per atom
ρ: 7.069 Mg/m³

BaCa2Ir | PBE-GGA | optimized geometry

Structure (POSCAR):
```
BaCa2Ir
1.0
7.629 0.000 0.000
0.000 7.629 0.000
0.000 0.000 7.629
Ba Ca Ir
4 8 4
Direct
0.000 0.000 0.000
0.000 0.500 0.500
0.500 0.000 0.500
0.500 0.500 0.000
0.250 0.250 0.250
0.250 0.250 0.750
0.250 0.750 0.250
0.250 0.750 0.750
0.750 0.250 0.250
0.750 0.250 0.750
0.750 0.750 0.250
0.750 0.750 0.750
0.000 0.000 0.500
0.000 0.500 0.000
0.500 0.000 0.000
0.500 0.500 0.500
```

Properties
crystal system: cubic
relative energy among the computed polymorphs: 387 meV/atom
energy of formation from the pure elements: 0.1475 eV per atom
ρ: 6.130 Mg/m³

PrY3Se4 | PBE-GGA | optimized geometry

Structure (POSCAR):
```
PrY3Se4
1.0
4.091 0.000 0.000
-2.046 3.543 0.000
0.000 0.000 27.579
Pr Y Se
2 6 8
Direct
0.333 0.667 0.250
0.667 0.333 0.750
0.000 0.000 0.000
0.000 0.000 0.500
0.333 0.667 0.621
0.333 0.667 0.879
0.667 0.333 0.121
0.667 0.333 0.379
0.000 0.000 0.181
0.000 0.000 0.319
0.000 0.000 0.681
0.000 0.000 0.819
0.333 0.667 0.061
0.333 0.667 0.439
0.667 0.333 0.561
0.667 0.333 0.939
```

Properties
ΔE_f (raw): -172 kJ per mole of atoms
crystal system: hexagonal
relative energy among the computed polymorphs: 0 meV/atom
ρ: 6.010 Mg/m³

TaPOs3 | PBE-GGA | optimized geometry

Structure (POSCAR):
```
TaPOs3
1.0
4.749 0.000 0.000
0.000 4.749 0.000
0.000 0.000 4.749
Ta P Os
1 1 3
Direct
0.000 0.000 0.000
0.500 0.500 0.500
0.000 0.000 0.500
0.000 0.500 0.000
0.500 0.000 0.000
```

Properties
crystal system: cubic
relative energy among the computed polymorphs: 1800 meV/atom
energy of formation from the pure elements: 2.5341 eV per atom
ρ: 12.133 Mg/m³

LiNd2Zn3Ge4 | PBE-GGA | optimized geometry

Structure (POSCAR):
```
LiNd2Zn3Ge4
1.0
4.330 0.000 0.000
0.000 4.330 0.000
0.000 0.000 10.486
Li Nd Zn Ge
1 2 3 4
Direct
0.000 0.000 0.000
0.000 0.500 0.744
0.500 0.000 0.256
0.000 0.500 0.368
0.500 0.000 0.632
0.500 0.500 0.000
0.000 0.000 0.500
0.000 0.500 0.137
0.500 0.000 0.863
0.500 0.500 0.500
```

Properties
crystal system: tetragonal
energy of formation from the pure elements: -0.4617 eV per atom
ρ: 6.607 Mg/m³

Te3PdBr | PBE-GGA | optimized geometry

Structure (POSCAR):
```
Te3PdBr
1.0
5.529 0.000 0.000
0.000 5.529 0.000
0.000 0.000 5.529
Te Pd Br
3 1 1
Direct
0.000 0.000 0.500
0.000 0.500 0.000
0.500 0.000 0.000
0.500 0.500 0.500
0.000 0.000 0.000
```

Properties
ΔE_f (raw): 104 kJ per mole of atoms
crystal system: cubic
relative energy among the computed polymorphs: 1304 meV/atom
ρ: 5.592 Mg/m³

CaAcP2Rh2 | PBE-GGA | optimized geometry

Structure (POSCAR):
```
CaAcP2Rh2
1.0
4.093 0.000 0.000
-2.047 3.545 0.000
0.000 0.000 8.667
Ca Ac P Rh
1 1 2 2
Direct
0.000 0.000 0.000
0.000 0.000 0.500
0.333 0.667 0.765
0.667 0.333 0.235
0.333 0.667 0.246
0.667 0.333 0.754
```

Properties
crystal system: trigonal
energy of formation from the pure elements: -1.0476 eV per atom
ρ: 7.062 Mg/m³

Sm3Tl4InS8 | PBE-GGA | optimized geometry

Structure (POSCAR):
```
Sm3Tl4InS8
1.0
4.077 2.354 7.518
-4.077 2.354 7.518
0.000 -4.708 7.518
Sm Tl In S
3 4 1 8
Direct
0.000 0.500 0.500
0.500 0.000 0.500
0.500 0.500 0.000
0.000 0.000 0.500
0.000 0.500 0.000
0.500 0.000 0.000
0.500 0.500 0.500
0.000 0.000 0.000
0.228 0.228 0.744
0.228 0.744 0.228
0.256 0.772 0.772
0.266 0.266 0.266
0.734 0.734 0.734
0.744 0.228 0.228
0.772 0.256 0.772
0.772 0.772 0.256
```

Properties
ΔE_f (raw): -116 kJ per mole of atoms
crystal system: trigonal
ρ: 6.289 Mg/m³

Ba3CoB | PBE-GGA | optimized geometry

Structure (POSCAR):
```
Ba3CoB
1.0
5.659 0.000 0.000
0.000 5.659 0.000
0.000 0.000 5.659
Ba Co B
3 1 1
Direct
0.000 0.000 0.500
0.000 0.500 0.000
0.500 0.000 0.000
0.000 0.000 0.000
0.500 0.500 0.500
```

Properties
crystal system: cubic
energy of formation from the pure elements: 0.9592 eV per atom
ρ: 4.415 Mg/m³